A plane-wave DFT calculation with PBE was carried out for La5Pr6Th2 after structural relaxation.

Computed properties:
The calculation puts the density at 7.0 g cm⁻³. The symmetry is Pbam, No. 55. The value obtained for the final energy is -5.142 eV per atom. Its spin magnetization is 0.00 μB/f.u.

abc: 11.884 21.612 3.687
angles: 90.00 90.00 90.00
Atoms (fractional coordinates):
1 La 0.000 0.000 0.000
2 La 0.057 0.294 0.000
3 La 0.190 0.584 0.000
4 La 0.310 0.084 0.000
5 La 0.443 0.794 0.000
6 La 0.500 0.500 0.000
7 La 0.557 0.206 0.000
8 La 0.690 0.916 0.000
9 La 0.810 0.416 0.000
10 La 0.943 0.706 0.000
11 Pr 0.065 0.148 0.500
12 Pr 0.083 0.439 0.500
13 Pr 0.185 0.875 0.000
14 Pr 0.315 0.375 0.000
15 Pr 0.417 0.939 0.500
16 Pr 0.435 0.648 0.500
17 Pr 0.565 0.352 0.500
18 Pr 0.583 0.061 0.500
19 Pr 0.685 0.625 0.000
20 Pr 0.815 0.125 0.000
21 Pr 0.917 0.561 0.500
22 Pr 0.935 0.852 0.500
23 Th 0.194 0.735 0.500
24 Th 0.306 0.235 0.500
25 Th 0.694 0.765 0.500
26 Th 0.806 0.265 0.500